# 1
Density functional theory data (meta-GGA SCAN) for a PBEsol-optimized structure of MnOsBr2.

As for the relative energy among the computed polymorphs: 0 meV/atom. The value obtained for the mass density is 7.604 g/cm3. For the uncorrected formation energy, the calculation gives 0.1713 eV per atom. The density of states at the Fermi level is 1.2 states/eV per cell. The value obtained for the spin magnetization is 1.19 μB/atom.

The structure belongs to space group Immm (No. 71); the cell edges are 3.4398, 4.0726 and 12.6259 Å and the angles 90.00°, 90.00° and 90.00°. Symmetry generates all atoms from Mn at (0.0000, 0.0000, 0.0000), Os at (0.0000, 0.0000, 0.5000) and Br at (0.0000, 0.5000, 0.1463).

=====

# 2
Density functional theory data (meta-GGA SCAN) for a PBEsol-optimized structure of SrZn2Co.

The value obtained for the mass density is 6.523 g/cm3. The total energy is -1.213 Ry per atom. The density of states at the Fermi level is 2.9 states/eV per cell. The value obtained for the spin magnetization is 0.38 μB/atom.

The structure belongs to space group P4/mmm (No. 123); the cell edges are 3.1861, 3.1861 and 6.9560 Å and the angles 90.00°, 90.00° and 90.00°. Symmetry generates all atoms from Sr at (0.0000, 0.0000, 0.0000), Zn at (0.5000, 0.5000, 0.3256) and Co at (0.0000, 0.0000, 0.5000).

=====

# 3
Density functional theory data (meta-GGA SCAN) for a PBEsol-optimized structure of ScAlSn2Au.

The value obtained for the mass density is 5.726 g/cm3. The total energy is -2.355 Ry per atom. The density of states at the Fermi level is 3.0 states/eV per cell. The value obtained for the spin magnetization is 0.00 μB/atom.

The structure belongs to space group P4/mmm (No. 123); the cell edges are 5.4228, 5.4228 and 4.9931 Å and the angles 90.00°, 90.00° and 90.00°. Symmetry generates all atoms from Sc at (0.0000, 0.0000, 0.0000), Al at (0.5000, 0.5000, 0.5000), Sn at (0.0000, 0.5000, 0.0000) and Au at (0.0000, 0.0000, 0.5000).

=====

# 4
Density functional theory data (meta-GGA SCAN) for a PBEsol-optimized structure of Mg2Si4O11.

The value obtained for the mass density is 1.576 g/cm3. For the uncorrected formation energy, the calculation gives -2.7920 eV per atom. The density of states at the Fermi level is 0.0 states/eV per cell. The value obtained for the spin magnetization is 0.06 μB/atom.

The structure belongs to space group C2/m (No. 12); the cell edges are 15.5836, 17.7918 and 5.4499 Å and the angles 90.00°, 109.96° and 90.00°. Symmetry generates all atoms from Mg at (0.0000, 0.1500, 0.0000), Mg at (0.0000, 0.1534, 0.5000), Si at (0.1872, 0.0903, 0.4384), Si at (0.1996, 0.1696, 0.9496), O at (0.0303, 0.0000, 0.9514), O at (0.0796, 0.1124, 0.3333), O at (0.0888, 0.1806, 0.8398), O at (0.2028, 0.0000, 0.4541), O at (0.2318, 0.1243, 0.2292), O at (0.2325, 0.1245, 0.7338) and O at (0.2500, 0.2500, 0.0000).

=====

# 5
Density functional theory data (meta-GGA SCAN) for a PBEsol-optimized structure of MoWSe4.

As for the relative energy among the computed polymorphs: 2324 meV/atom. The value obtained for the mass density is 9.415 g/cm3. For the uncorrected formation energy, the calculation gives 1.7110 eV per atom. The density of states at the Fermi level is 14.9 states/eV per cell. The value obtained for the spin magnetization is 0.10 μB/atom.

The structure belongs to space group F-43m (No. 216); the cell edges are 7.4899, 7.4899 and 7.4899 Å and the angles 90.00°, 90.00° and 90.00°. Symmetry generates all atoms from Mo at (0.0000, 0.0000, 0.0000), W at (0.2500, 0.2500, 0.7500) and Se at (0.1249, 0.1249, 0.3751).

=====

# 6
Density functional theory data (meta-GGA SCAN) for a PBEsol-optimized structure of MgCr.

The value obtained for the mass density is 1.968 g/cm3. The total energy is -0.758 Ry per atom. The density of states at the Fermi level is 4.8 states/eV per cell. The value obtained for the spin magnetization is 2.57 μB/atom.

The structure belongs to space group F-43m (No. 216); the cell edges are 6.3621, 6.3621 and 6.3621 Å and the angles 90.00°, 90.00° and 90.00°. Symmetry generates all atoms from Mg at (0.0000, 0.0000, 0.0000) and Cr at (0.2500, 0.2500, 0.7500).

=====

# 7
Density functional theory data (meta-GGA SCAN) for a PBEsol-optimized structure of ZrTcSb2.

As for the relative energy among the computed polymorphs: 0 meV/atom. The value obtained for the mass density is 9.000 g/cm3. For the uncorrected formation energy, the calculation gives -0.2260 eV per atom. The density of states at the Fermi level is 2.2 states/eV per cell. The value obtained for the spin magnetization is 0.00 μB/atom.

The structure belongs to space group P4mm (No. 99); the cell edges are 3.5346, 3.5346 and 6.3907 Å and the angles 90.00°, 90.00° and 90.00°. Symmetry generates all atoms from Zr at (0.0000, 0.0000, 0.0000), Tc at (0.5000, 0.5000, 0.7245), Sb at (0.0000, 0.0000, 0.5281) and Sb at (0.5000, 0.5000, 0.2070).

=====

# 8
Density functional theory data (meta-GGA SCAN) for a PBEsol-optimized structure of Fe3PtAu.

The value obtained for the mass density is 9.670 g/cm3. The total energy is -2.781 Ry per atom. The density of states at the Fermi level is 6.1 states/eV per cell. The value obtained for the spin magnetization is 2.12 μB/atom.

The structure belongs to space group Pm-3m (No. 221); the cell edges are 4.5804, 4.5804 and 4.5804 Å and the angles 90.00°, 90.00° and 90.00°. Symmetry generates all atoms from Fe at (0.0000, 0.0000, 0.5000), Pt at (0.0000, 0.0000, 0.0000) and Au at (0.5000, 0.5000, 0.5000).

=====

- Which value of spin magnetization does entry 2 give?
  0.38 μB/atom

=====

Repeat the fourth record exactly.
Density functional theory data (meta-GGA SCAN) for a PBEsol-optimized structure of Mg2Si4O11.

The value obtained for the mass density is 1.576 g/cm3. For the uncorrected formation energy, the calculation gives -2.7920 eV per atom. The density of states at the Fermi level is 0.0 states/eV per cell. The value obtained for the spin magnetization is 0.06 μB/atom.

The structure belongs to space group C2/m (No. 12); the cell edges are 15.5836, 17.7918 and 5.4499 Å and the angles 90.00°, 109.96° and 90.00°. Symmetry generates all atoms from Mg at (0.0000, 0.1500, 0.0000), Mg at (0.0000, 0.1534, 0.5000), Si at (0.1872, 0.0903, 0.4384), Si at (0.1996, 0.1696, 0.9496), O at (0.0303, 0.0000, 0.9514), O at (0.0796, 0.1124, 0.3333), O at (0.0888, 0.1806, 0.8398), O at (0.2028, 0.0000, 0.4541), O at (0.2318, 0.1243, 0.2292), O at (0.2325, 0.1245, 0.7338) and O at (0.2500, 0.2500, 0.0000).